## Ce2CoH4 (PBE)

Data for a geometry-optimized Ce2CoH4 structure.

Computed properties:
ρ = 6.7 g cm⁻³
energy above the most stable polymorph in this dataset = 0 meV per atom
energy = -70.01 eV for the cell shown
spin magnetization = 1.78 μB per formula unit

abc: 5.648 4.613 6.982
angles: 90.00 109.68 90.00
Site moments in Bohr magnetons follow the coordinates.
Element x y z (fractional)
Ce1 0.769 0.750 0.062  0.64
Ce2 0.231 0.250 0.938  0.64
Ce3 0.222 0.250 0.435  0.86
Ce4 0.778 0.750 0.565  0.86
Co1 0.304 0.750 0.210  -0.18
Co2 0.696 0.250 0.790  -0.18
H1 0.509 0.488 0.257  0.00
H2 0.130 0.750 0.958  0.00
H3 0.870 0.250 0.042  0.00
H4 0.509 0.012 0.257  0.00
H5 0.887 0.250 0.637  -0.01
H6 0.491 0.988 0.743  0.00
H7 0.491 0.512 0.743  0.00
H8 0.113 0.750 0.363  -0.01